Entry 1:
# ZrTlCd4

A relaxed ZrTlCd4 crystal (PBE-GGA, Alexandria).

a = 5.844 Å, b = 5.844 Å, c = 5.844 Å
α = 60.00°, β = 60.00°, γ = 60.00°
Positions (direct):
Cd1 0.374 0.374 0.374
Cd2 0.878 0.374 0.374
Cd3 0.374 0.374 0.878
Cd4 0.374 0.878 0.374
Tl1 0.750 0.750 0.750
Zr1 0.000 0.000 0.000

Output
formation energy from the elements: 0.18 eV/atom

---

Entry 2:
# NbSnOF2

A relaxed NbSnOF2 crystal (PBE-GGA, Alexandria).

a = 4.018 Å, b = 6.008 Å, c = 4.018 Å
α = 90.00°, β = 90.00°, γ = 90.00°
Positions (direct):
Nb1 0.000 0.500 0.000
F1 0.500 0.000 0.000
F2 0.000 0.000 0.500
Sn1 0.000 0.000 0.000
O1 0.500 0.500 0.500

Output
offset from the most stable computed form: 1087.8 meV/atom

---

Entry 3:
# NbCuIr

A relaxed NbCuIr crystal (PBE-GGA, Alexandria).

a = 2.765 Å, b = 4.346 Å, c = 4.346 Å
α = 120.00°, β = 90.00°, γ = 90.00°
Positions (direct):
Cu1 0.192 0.667 0.333
Ir1 0.134 0.000 0.000
Nb1 0.674 0.333 0.667

Output
offset from the most stable computed form: 37.5 meV/atom
formation energy from the elements: -0.19 eV/atom

---

Entry 4:
# TbYPu

A relaxed TbYPu crystal (PBE-GGA, Alexandria).

a = 3.515 Å, b = 3.515 Å, c = 7.833 Å
α = 102.97°, β = 102.97°, γ = 90.00°
Positions (direct):
Y1 0.669 0.669 0.338
Pu1 0.334 0.334 0.668
Tb1 0.997 0.997 0.994

Output
offset from the most stable computed form: 0.0 meV/atom
formation energy from the elements: 0.12 eV/atom

---

Entry 5:
# SrLi5Hg7

A relaxed SrLi5Hg7 crystal (PBE-GGA, Alexandria).

a = 5.581 Å, b = 7.600 Å, c = 7.600 Å
α = 83.64°, β = 68.46°, γ = 68.46°
Positions (direct):
Sr1 0.992 0.008 0.008
Hg1 0.519 0.177 0.785
Hg2 0.986 0.357 0.671
Hg3 0.986 0.671 0.357
Hg4 0.645 0.355 0.355
Hg5 0.329 0.671 0.671
Hg6 0.275 0.225 0.225
Hg7 0.519 0.785 0.177
Li1 0.736 0.764 0.764
Li2 0.008 0.001 0.492
Li3 0.008 0.492 0.001
Li4 0.499 0.492 0.001
Li5 0.499 0.001 0.492

Output
formation energy from the elements: -0.32 eV/atom

---

Entry 6:
# TbPrPdPt

A relaxed TbPrPdPt crystal (PBE-GGA, Alexandria).

a = 3.863 Å, b = 4.553 Å, c = 5.746 Å
α = 90.00°, β = 109.64°, γ = 90.00°
Positions (direct):
Pr1 0.138 0.000 0.277
Pt1 0.412 0.000 0.824
Tb1 0.865 0.500 0.729
Pd1 0.585 0.500 0.170

Output
offset from the most stable computed form: 0.0 meV/atom
formation energy from the elements: -1.02 eV/atom

---

Entry 7:
# NaPmVCl6

A relaxed NaPmVCl6 crystal (PBE-GGA, Alexandria).

a = 6.653 Å, b = 6.653 Å, c = 12.692 Å
α = 90.00°, β = 90.00°, γ = 120.00°
Positions (direct):
Cl1 0.366 0.338 0.366
Cl2 0.338 0.972 0.634
Cl3 0.662 0.634 0.134
Cl4 0.662 0.028 0.366
Cl5 0.972 0.634 0.366
Cl6 0.972 0.338 0.134
Cl7 0.366 0.028 0.134
Cl8 0.338 0.366 0.866
Cl9 0.028 0.662 0.866
Cl10 0.634 0.972 0.866
Cl11 0.634 0.662 0.634
Cl12 0.028 0.366 0.634
Pm1 0.667 0.333 0.750
Pm2 0.333 0.667 0.250
V1 0.333 0.667 0.750
V2 0.667 0.333 0.250
Na1 0.000 0.000 0.500
Na2 0.000 0.000 0.000

Output
raw total energy: -4.70 eV per atom

---

Entry 8:
# GaRuPb

A relaxed GaRuPb crystal (PBE-GGA, Alexandria).

a = 6.100 Å, b = 3.259 Å, c = 6.473 Å
α = 90.00°, β = 105.01°, γ = 90.00°
Positions (direct):
Pb1 0.230 0.500 0.476
Pb2 0.412 0.000 0.012
Ru1 0.796 0.500 0.237
Ru2 0.642 0.500 0.765
Ga1 0.939 0.000 0.989
Ga2 0.749 0.000 0.515

Output
formation energy from the elements: 0.04 eV/atom

---

Entry 9:
# CaBeNiAs2

A relaxed CaBeNiAs2 crystal (PBE-GGA, Alexandria).

a = 4.379 Å, b = 5.001 Å, c = 4.379 Å
α = 90.00°, β = 90.00°, γ = 90.00°
Positions (direct):
Ni1 0.500 0.500 0.500
Be1 0.000 0.000 0.000
As1 0.000 0.000 0.500
As2 0.500 0.000 0.000
Ca1 0.000 0.500 0.000

Output
formation energy from the elements: 0.41 eV/atom

---

Entry 10:
# HPt2Pb

A relaxed HPt2Pb crystal (PBE-GGA, Alexandria).

a = 5.489 Å, b = 5.489 Å, c = 5.801 Å
α = 61.76°, β = 61.76°, γ = 90.00°
Positions (direct):
Pt1 0.875 0.717 0.750
Pt2 0.283 0.625 0.250
Pt3 0.375 0.533 0.750
Pt4 0.467 0.125 0.250
H1 0.500 0.500 0.000
H2 0.250 0.750 0.500
Pb1 0.750 0.250 0.500
Pb2 0.000 0.000 0.000

Output
offset from the most stable computed form: 0.0 meV/atom

---

Entry 11:
# ReSeBr2

A relaxed ReSeBr2 crystal (PBE-GGA, Alexandria).

a = 6.882 Å, b = 6.882 Å, c = 6.882 Å
α = 153.35°, β = 136.71°, γ = 51.57°
Positions (direct):
Se1 0.655 0.155 0.500
Br1 0.333 0.833 0.500
Br2 0.004 0.004 0.000
Re1 0.508 0.508 0.000

Output
offset from the most stable computed form: 313.1 meV/atom

---

Entry 12:
# Cd12Hg16Pb

A relaxed Cd12Hg16Pb crystal (PBE-GGA, Alexandria).

a = 10.158 Å, b = 10.158 Å, c = 10.089 Å
α = 112.21°, β = 112.21°, γ = 110.25°
Positions (direct):
Cd1 0.992 0.188 0.364
Cd2 0.614 0.614 0.832
Cd3 0.819 0.819 0.238
Cd4 0.992 0.369 0.172
Cd5 0.238 0.794 0.792
Cd6 0.365 0.174 0.977
Cd7 0.637 0.857 0.667
Cd8 0.188 0.992 0.364
Cd9 0.369 0.992 0.172
Cd10 0.174 0.365 0.977
Cd11 0.857 0.637 0.667
Cd12 0.794 0.238 0.792
Hg1 0.688 0.431 0.020
Hg2 0.561 0.300 0.560
Hg3 0.023 0.426 0.688
Hg4 0.426 0.023 0.688
Hg5 0.431 0.688 0.020
Hg6 0.699 0.028 0.424
Hg7 0.289 0.289 0.711
Hg8 0.950 0.950 0.994
Hg9 0.002 0.646 0.004
Hg10 0.300 0.561 0.560
Hg11 0.646 0.002 0.004
Hg12 0.028 0.699 0.424
Hg13 0.291 0.291 0.266
Hg14 0.326 0.728 0.313
Hg15 0.728 0.326 0.313
Hg16 0.980 0.980 0.673
Pb1 0.594 0.594 0.324

Output
formation energy from the elements: 0.03 eV/atom